a | VASP calculation (GGA-PBE) on a relaxed TbHo2Ag2 crystal.

```
10
Lattice="-2.0039 0.6111 -2.9605 -2.2966 -4.6788 0.5887 -8.4916 5.3081 9.0602" Properties=species:S:1:pos:R:3 pbc="T T T"
Ho -10.1668 4.2156 5.5259
Ho -6.6164 2.1164 2.6929
Ho -2.6252 -2.9752 1.1625
Ho -6.1756 -0.8760 3.9956
Tb -3.3381 0.4644 2.3522
Tb -9.4540 0.7760 4.3362
Ag -7.3663 2.8468 5.5719
Ag -2.4608 -0.3411 -0.6277
Ag -10.3312 1.5815 7.3161
Ag -5.4257 -1.6064 1.1165
```

## Properties
The calculation puts the magnetic moment at 0.00 μB per formula unit.

=====

b | VASP calculation (GGA-PBE) on a relaxed TbHo2Ag2 crystal.

```
10
Lattice="5.0103 0.0000 0.0000 0.0000 6.3076 0.5811 0.0000 0.1184 8.1641" Properties=species:S:1:pos:R:3 pbc="T T T"
Ag 3.7578 4.0073 0.5301
Ag 1.2526 2.4188 8.2151
Ag 1.2526 3.6763 5.3418
Ag 3.7578 2.7497 3.4034
Tb 3.7578 2.0593 6.2863
Tb 1.2526 4.3667 2.4589
Ho 1.2526 5.7703 7.5159
Ho 1.2526 1.0632 3.7457
Ho 3.7578 5.3628 4.9996
Ho 3.7578 0.6557 1.2293
```

## Properties
The calculation puts the magnetic moment at 0.00 μB per formula unit.

=====

Energy ordering: a at the bottom, the next structure 7.9 kJ/mol of atoms above.

=====

a | VASP calculation (GGA-PBE) on a relaxed TbHoAg crystal.

```
3
Lattice="-2.0226 1.3381 -2.6414 -2.7031 -2.1402 0.9856 0.2477 4.8582 4.7053" Properties=species:S:1:pos:R:3 pbc="T T T"
Ho -1.3318 2.8066 2.4415
Ag -3.0773 1.1045 0.4818
Tb -0.0688 0.1451 0.1262
```

## Properties
The calculation puts the magnetic moment at 0.75 μB per formula unit.

=====

b | VASP calculation (GGA-PBE) on a relaxed TbHoAg crystal.

```
3
Lattice="-1.8950 0.7448 -3.0243 -4.2821 -1.2129 2.3843 1.6916 4.7559 0.1114" Properties=species:S:1:pos:R:3 pbc="T T T"
Tb -3.4452 1.2304 -0.2155
Ag -0.9133 3.0075 -0.1103
Ho -0.1270 0.0499 -0.2028
```

## Properties
The calculation puts the magnetic moment at 0.00 μB per formula unit.

=====

Energy ordering: a at the bottom, the next structure 13.4 kJ/mol of atoms above.

=====

a | VASP calculation (GGA-PBE) on a relaxed Tb2HoAg crystal.

```
4
Lattice="3.7029 0.0000 0.0000 0.0000 5.4545 0.0000 0.0000 0.0000 5.4545" Properties=species:S:1:pos:R:3 pbc="T T T"
Tb 0.0000 2.7272 0.0000
Tb 0.0000 0.0000 2.7272
Ag 1.8515 0.0000 0.0000
Ho 1.8515 2.7272 2.7272
```

## Properties
The calculation puts the magnetic moment at 0.00 μB per formula unit.

=====

b | VASP calculation (GGA-PBE) on a relaxed Tb2HoAg crystal.

```
4
Lattice="-3.5293 0.4750 -0.2418 -0.2946 -3.0877 -1.7663 -1.1029 -4.2866 7.6771" Properties=species:S:1:pos:R:3 pbc="T T T"
Ho -2.4634 -3.4496 2.8345
Tb -0.2393 -0.9299 1.6655
Tb -0.8636 -3.3566 6.0116
Ag -1.9120 -1.3063 -1.0041
```

## Properties
The calculation puts the magnetic moment at 0.00 μB per formula unit.

=====

Energy ordering: b at the bottom, the next structure 11.5 kJ/mol of atoms above.

=====

a | VASP calculation (GGA-PBE) on a relaxed Ho2TcAg crystal.

```
4
Lattice="-4.0752 -2.8015 -0.1249 0.1430 -4.4826 -2.0874 -0.3029 -4.0527 2.8205" Properties=species:S:1:pos:R:3 pbc="T T T"
Ag -2.1175 -5.6684 0.3041
Tc 0.0000 0.0000 0.0000
Ho -1.0588 -2.8342 0.1520
Ho -3.1763 -8.5026 0.4561
```

## Properties
The calculation puts the magnetic moment at 0.00 μB per formula unit.

=====

b | VASP calculation (GGA-PBE) on a relaxed Ho2TcAg crystal.

```
4
Lattice="-1.3673 2.5186 1.9430 -3.0678 -0.4852 -1.5299 -1.7734 -4.9064 5.1121" Properties=species:S:1:pos:R:3 pbc="T T T"
Ag -3.1043 -1.4365 2.7626
Tc -2.2176 1.0167 0.2065
Ho -0.3956 -1.0944 1.1403
Ho -1.3779 -3.8120 3.9718
```

## Properties
The calculation puts the magnetic moment at 0.00 μB per formula unit.

=====

Energy ordering: b at the bottom, the next structure 7.3 kJ/mol of atoms above.